1.
PBE CaRu2Br, optimized geometry; density = 6.5 g cm⁻³; density of states at the Fermi level = 5.6 states/eV per cell; uncorrected formation energy = 14.4 kcal/mol of atoms; total DFT energy (no corrections) = -4.934 eV per atom; distance to the lowest polymorph of the same formula = 0.672 eV per atom; M_tot = 0.00 Bohr magnetons per cell
1.0
-0.2862 -2.2759 2.1156
-3.0141 -2.2813 -2.8620
4.2958 -2.7259 -2.3512
Ru Ca Br
2 1 1
Direct
0.0000 0.0000 0.9513
0.0000 0.0000 0.5487
0.5000 0.5000 0.7500
0.5000 0.5000 0.2500



2.
PBE CaRuBr2, optimized geometry; density = 4.8 g cm⁻³; density of states at the Fermi level = 3.2 states/eV per cell; uncorrected formation energy = -4.9 kcal/mol of atoms; total DFT energy (no corrections) = -3.868 eV per atom; distance to the lowest polymorph of the same formula = 0.354 eV per atom; M_tot = 1.50 Bohr magnetons per cell
1.0
5.1186 0.0677 0.1313
-2.4483 4.7062 0.3501
0.2220 2.3316 4.5194
Br Ru Ca
2 1 1
Direct
0.5000 0.0000 0.5000
0.0000 0.0000 0.0000
0.5000 0.5000 0.0000
0.0000 0.5000 0.5000



3.
PBE CaRuBr2, optimized geometry; density = 5.8 g cm⁻³; density of states at the Fermi level = 4.2 states/eV per cell; uncorrected formation energy = -4.6 kcal/mol of atoms; total DFT energy (no corrections) = -3.854 eV per atom; distance to the lowest polymorph of the same formula = 0.368 eV per atom; M_tot = 2.07 Bohr magnetons per cell
1.0
-2.5189 3.0070 2.8826
1.7444 -2.2976 3.9211
2.8347 2.2946 0.0834
Br Ru Ca
2 1 1
Direct
0.0000 0.0000 0.0000
0.5000 0.5000 0.0000
0.0000 0.5000 0.5000
0.5000 0.0000 0.5000



4.
PBE CaRu2Br, optimized geometry; density = 6.2 g cm⁻³; density of states at the Fermi level = 3.3 states/eV per cell; uncorrected formation energy = 0.0 kcal/mol of atoms; total DFT energy (no corrections) = -5.559 eV per atom; distance to the lowest polymorph of the same formula = 0.048 eV per atom; M_tot = 0.00 Bohr magnetons per cell
1.0
-0.1999 0.8087 -3.2033
-0.9451 -3.0887 -0.7225
-7.5084 2.0659 0.9901
Ru Br Ca
2 1 1
Direct
0.0000 0.0000 0.0420
0.5000 0.5000 0.1619
0.0000 0.0000 0.5354
0.5000 0.5000 0.7609



5.
PBE CaRuBr2, optimized geometry; density = 4.8 g cm⁻³; density of states at the Fermi level = 1.9 states/eV per cell; uncorrected formation energy = -9.2 kcal/mol of atoms; total DFT energy (no corrections) = -4.054 eV per atom; distance to the lowest polymorph of the same formula = 0.168 eV per atom; M_tot = 0.38 Bohr magnetons per cell
1.0
-0.9743 -3.3629 -0.0983
1.8522 -0.4509 -2.9384
6.7711 -2.0958 4.5897
Br Ca Ru
2 1 1
Direct
0.5000 0.5000 0.3227
0.0000 0.0000 0.8761
0.0000 0.0000 0.5169
0.5000 0.5000 0.7842



6.
PBE CaRu2Br, optimized geometry; density = 6.7 g cm⁻³; density of states at the Fermi level = 13.3 states/eV per cell; uncorrected formation energy = 16.8 kcal/mol of atoms; total DFT energy (no corrections) = -4.826 eV per atom; distance to the lowest polymorph of the same formula = 0.780 eV per atom; M_tot = 0.00 Bohr magnetons per cell
1.0
7.6766 0.0000 0.0000
0.0000 7.6766 0.0000
3.8383 3.8383 2.7262
Ru Br Ca
4 2 2
Direct
0.8750 0.9498 0.7500
0.0502 0.6250 0.2500
0.3750 0.3002 0.7500
0.6998 0.1250 0.2500
0.0000 0.0000 0.0000
0.7500 0.2500 0.5000
0.5000 0.5000 0.0000
0.2500 0.7500 0.5000



7.
PBE CaRu2Br, optimized geometry; density = 7.4 g cm⁻³; density of states at the Fermi level = 5.0 states/eV per cell; uncorrected formation energy = 16.6 kcal/mol of atoms; total DFT energy (no corrections) = -4.836 eV per atom; distance to the lowest polymorph of the same formula = 0.770 eV per atom; M_tot = 0.00 Bohr magnetons per cell
1.0
-2.8372 -0.7749 1.3912
1.5355 -0.5860 2.8080
-0.8745 6.4925 1.8331
Ru Ca Br
2 1 1
Direct
0.0000 0.0000 0.4659
0.0000 0.0000 0.0341
0.5000 0.5000 0.7500
0.5000 0.5000 0.2500



8.
PBE CaRuBr, optimized geometry; density = 5.5 g cm⁻³; density of states at the Fermi level = 4.4 states/eV per cell; uncorrected formation energy = 7.3 kcal/mol of atoms; total DFT energy (no corrections) = -3.999 eV per atom; distance to the lowest polymorph of the same formula = 0.351 eV per atom; M_tot = 0.72 Bohr magnetons per cell
1.0
4.5505 0.0000 0.0000
2.2752 3.9408 0.0000
2.2752 1.3136 3.7154
Ca Br Ru
1 1 1
Direct
0.5000 0.5000 0.5000
0.0000 0.0000 0.0000
0.7500 0.7500 0.7500



9.
PBE CaRu2Br, optimized geometry; density = 7.4 g cm⁻³; density of states at the Fermi level = 5.5 states/eV per cell; uncorrected formation energy = 8.5 kcal/mol of atoms; total DFT energy (no corrections) = -5.187 eV per atom; distance to the lowest polymorph of the same formula = 0.419 eV per atom; M_tot = 0.00 Bohr magnetons per cell
1.0
5.8310 -0.0074 0.0078
3.2240 4.8587 -0.0078
-4.0243 -3.3649 2.5462
Ru Br Ca
2 1 1
Direct
0.5242 0.5242 0.0000
0.9758 0.9758 0.0000
0.7500 0.2500 0.5000
0.2500 0.7500 0.5000



10.
PBE CaRuBr2, optimized geometry; density = 4.2 g cm⁻³; density of states at the Fermi level = 4.3 states/eV per cell; uncorrected formation energy = -4.5 kcal/mol of atoms; total DFT energy (no corrections) = -3.850 eV per atom; distance to the lowest polymorph of the same formula = 0.372 eV per atom; M_tot = 2.00 Bohr magnetons per cell
1.0
0.0409 -7.5502 4.0552
0.6941 -8.5412 0.1349
3.8081 -7.2691 2.4720
Br Ca Ru
2 1 1
Direct
0.8998 0.8998 0.8998
0.1002 0.1002 0.1002
0.5000 0.5000 0.5000
0.0000 0.0000 0.0000



11.
PBE Ca2Ru2Br, optimized geometry; density = 5.1 g cm⁻³; density of states at the Fermi level = 5.2 states/eV per cell; uncorrected formation energy = -7.0 kcal/mol of atoms; total DFT energy (no corrections) = -5.150 eV per atom; distance to the lowest polymorph of the same formula = 0.000 eV per atom; M_tot = 0.00 Bohr magnetons per cell
1.0
-2.5465 -1.0400 2.3842
-0.4349 -3.1193 -1.8252
4.7569 -5.8842 5.2927
Ca Br Ru
2 1 2
Direct
0.6200 0.6200 0.7601
0.3800 0.3800 0.2399
0.0000 0.0000 0.0000
0.2500 0.7500 0.5000
0.7500 0.2500 0.5000



12.
PBE CaRuBr, optimized geometry; density = 6.0 g cm⁻³; density of states at the Fermi level = 2.7 states/eV per cell; uncorrected formation energy = -0.8 kcal/mol of atoms; total DFT energy (no corrections) = -4.350 eV per atom; distance to the lowest polymorph of the same formula = 0.000 eV per atom; M_tot = 0.00 Bohr magnetons per cell
1.0
-2.1948 2.1999 -3.1688
3.5004 -2.5137 -1.0615
-2.1754 -2.8346 -0.4611
Ru Br Ca
1 1 1
Direct
0.3333 0.6667 0.8336
0.0000 0.0000 0.8331
0.6667 0.3333 0.3333



Q: What is the formula in the ninth record?
A: CaRu2Br